(1)
The following is a DFT calculation (SCAN) of ZrTe2Au at its PBEsol-relaxed geometry.

abc: 3.142 5.086 5.711
angles: 90.00 96.54 90.00
Atoms (fractional coordinates):
1 Au 0.000 0.500 0.500
2 Te 0.269 0.000 0.249
3 Te 0.731 0.000 0.751
4 Zr 0.500 0.500 0.000

## Properties
Its total energy is -43.62 eV/atom. Its crystal system is monoclinic. The formation energy from raw total energies is -0.03 eV per atom.

(2)
The following is a DFT calculation (SCAN) of ZrTeAu2 at its PBEsol-relaxed geometry.

abc: 4.178 4.150 5.472
angles: 112.28 112.44 90.00
Atoms (fractional coordinates):
1 Au 0.000 0.000 0.000
2 Au 0.751 0.251 0.502
3 Te 0.499 0.499 0.999
4 Zr 0.250 0.750 0.499

## Properties
Its total energy is -51.89 eV/atom. Its crystal system is orthorhombic. The formation energy from raw total energies is -0.33 eV per atom.

(3)
The following is a DFT calculation (SCAN) of ZrTe4Au at its PBEsol-relaxed geometry.

abc: 6.074 6.074 6.074
angles: 60.00 60.00 60.00
Atoms (fractional coordinates):
1 Au 0.000 0.000 0.000
2 Te 0.375 0.875 0.375
3 Te 0.875 0.375 0.375
4 Te 0.375 0.375 0.875
5 Te 0.375 0.375 0.375
6 Zr 0.750 0.750 0.750

## Properties
Its total energy is -40.90 eV/atom. Its crystal system is cubic. The formation energy from raw total energies is 0.57 eV per atom.

(4)
The following is a DFT calculation (SCAN) of ZrTeAu2 at its PBEsol-relaxed geometry.

abc: 4.208 4.208 6.330
angles: 70.59 70.59 60.00
Atoms (fractional coordinates):
1 Au 0.256 0.256 0.232
2 Au 0.744 0.744 0.768
3 Te 0.500 0.500 0.500
4 Zr 0.000 0.000 0.000

## Properties
Its total energy is -52.02 eV/atom. Its crystal system is trigonal. The formation energy from raw total energies is -0.45 eV per atom.

(5)
The following is a DFT calculation (SCAN) of ZrTe2Au at its PBEsol-relaxed geometry.

abc: 3.783 3.783 6.811
angles: 90.00 90.00 90.00
Atoms (fractional coordinates):
1 Zr 0.000 0.000 0.509
2 Au 0.500 0.500 0.752
3 Te 0.500 0.500 0.327
4 Te 0.000 0.000 0.912

## Properties
Its total energy is -44.13 eV/atom. Its crystal system is tetragonal. The formation energy from raw total energies is -0.54 eV per atom.

(6)
The following is a DFT calculation (SCAN) of ZrTeAu3 at its PBEsol-relaxed geometry.

abc: 5.116 5.116 5.116
angles: 90.00 90.00 90.00
Atoms (fractional coordinates):
1 Au 0.500 0.000 0.000
2 Au 0.000 0.000 0.500
3 Au 0.000 0.500 0.000
4 Te 0.500 0.500 0.500
5 Zr 0.000 0.000 0.000

## Properties
Its total energy is -54.42 eV/atom. Its crystal system is cubic. The formation energy from raw total energies is 0.66 eV per atom.

(7)
The following is a DFT calculation (SCAN) of Th3Au4 at its PBEsol-relaxed geometry.

abc: 6.156 8.159 8.159
angles: 113.90 104.57 104.57
Atoms (fractional coordinates):
1 Au 0.227 0.162 0.664
2 Au 0.000 0.000 0.000
3 Au 0.437 0.664 0.502
4 Au 0.065 0.502 0.838
5 Au 0.500 0.000 0.000
6 Au 0.563 0.336 0.498
7 Au 0.935 0.498 0.162
8 Au 0.773 0.838 0.336
9 Th 0.404 0.376 0.118
10 Th 0.027 0.741 0.624
11 Th 0.596 0.624 0.882
12 Th 0.714 0.118 0.741
13 Th 0.973 0.259 0.376
14 Th 0.286 0.882 0.259

## Properties
Its total energy is -81.47 eV/atom. Its crystal system is trigonal. The calculation puts the formation energy at -0.847 eV/atom.

(8)
The following is a DFT calculation (SCAN) of ThAu2 at its PBEsol-relaxed geometry.

abc: 3.353 4.745 4.745
angles: 120.00 90.00 90.00
Atoms (fractional coordinates):
1 Au 0.000 0.667 0.333
2 Au 0.000 0.333 0.667
3 Th 0.500 0.000 0.000

## Properties
Its total energy is -78.96 eV/atom. Its crystal system is hexagonal. The calculation puts the formation energy at -0.879 eV/atom.

(9)
The following is a DFT calculation (SCAN) of Th2Au at its PBEsol-relaxed geometry.

abc: 5.876 5.996 5.996
angles: 76.11 60.66 60.66
Atoms (fractional coordinates):
1 Au 0.750 0.000 0.000
2 Au 0.250 0.000 0.000
3 Th 0.842 0.500 0.815
4 Th 0.658 0.185 0.500
5 Th 0.158 0.500 0.185
6 Th 0.342 0.815 0.500

## Properties
Its total energy is -87.53 eV/atom. Its crystal system is tetragonal. The calculation puts the formation energy at -0.534 eV/atom.

(10)
The following is a DFT calculation (SCAN) of ThZnAu2 at its PBEsol-relaxed geometry.

abc: 4.894 4.894 4.894
angles: 60.00 60.00 60.00
Atoms (fractional coordinates):
1 Th 0.500 0.500 0.500
2 Au 0.250 0.250 0.250
3 Au 0.750 0.750 0.750
4 Zn 0.000 0.000 0.000

## Properties
Its total energy is -62.57 eV/atom. Its crystal system is cubic. The calculation puts the formation energy at -0.633 eV/atom.

(11)
The following is a DFT calculation (SCAN) of Ti3Au at its PBEsol-relaxed geometry.

abc: 5.032 5.032 5.032
angles: 90.00 90.00 90.00
Atoms (fractional coordinates):
1 Au 0.500 0.500 0.500
2 Au 0.000 0.000 0.000
3 Ti 0.500 0.250 0.000
4 Ti 0.000 0.500 0.250
5 Ti 0.000 0.500 0.750
6 Ti 0.750 0.000 0.500
7 Ti 0.250 0.000 0.500
8 Ti 0.500 0.750 0.000

## Properties
Its total energy is -29.87 eV/atom. Its crystal system is cubic. The calculation puts the formation energy at -0.556 eV/atom.

(12)
The following is a DFT calculation (SCAN) of TiAu4 at its PBEsol-relaxed geometry.

abc: 3.939 4.977 4.977
angles: 80.99 66.69 66.69
Atoms (fractional coordinates):
1 Au 0.395 0.399 0.811
2 Au 0.206 0.189 0.399
3 Au 0.794 0.811 0.601
4 Au 0.605 0.601 0.189
5 Ti 0.000 0.000 0.000

## Properties
Its total energy is -58.93 eV/atom. Its crystal system is tetragonal. The calculation puts the formation energy at -0.397 eV/atom.

(13)
The following is a DFT calculation (SCAN) of TiAu2 at its PBEsol-relaxed geometry.

abc: 4.868 4.868 4.868
angles: 139.01 139.01 59.36
Atoms (fractional coordinates):
1 Au 0.335 0.335 0.000
2 Au 0.665 0.665 0.000
3 Ti 0.000 0.000 0.000

## Properties
Its total energy is -52.08 eV/atom. Its crystal system is tetragonal. The calculation puts the formation energy at -0.631 eV/atom.

(14)
The following is a DFT calculation (SCAN) of YTiW2Au at its PBEsol-relaxed geometry.

abc: 4.851 4.851 5.130
angles: 90.00 90.00 90.00
Atoms (fractional coordinates):
1 Ti 0.500 0.500 0.500
2 Au 0.000 0.000 0.000
3 W 0.000 0.500 0.000
4 W 0.500 0.000 0.000
5 Y 0.000 0.000 0.500

## Properties
Its total energy is -48.79 eV/atom. Its crystal system is tetragonal. The calculation puts the formation energy at 1.695 eV/atom.

(15)
The following is a DFT calculation (SCAN) of Ti2Zn2Au at its PBEsol-relaxed geometry.

abc: 3.553 6.579 6.579
angles: 90.00 90.00 90.00
Atoms (fractional coordinates):
1 Ti 0.500 0.833 0.333
2 Ti 0.500 0.333 0.167
3 Ti 0.500 0.667 0.833
4 Ti 0.500 0.167 0.667
5 Zn 0.000 0.869 0.631
6 Zn 0.000 0.631 0.131
7 Zn 0.000 0.369 0.869
8 Zn 0.000 0.131 0.369
9 Au 0.000 0.000 0.000
10 Au 0.000 0.500 0.500

## Properties
Its total energy is -26.01 eV/atom. Its crystal system is tetragonal. The calculation puts the formation energy at -0.363 eV/atom.

(16)
The following is a DFT calculation (SCAN) of Ti2Zn2Au at its PBEsol-relaxed geometry.

abc: 3.675 3.675 6.533
angles: 106.33 106.33 90.00
Atoms (fractional coordinates):
1 Zn 0.405 0.405 0.811
2 Zn 0.595 0.595 0.189
3 Ti 0.250 0.750 0.500
4 Ti 0.750 0.250 0.500
5 Au 0.000 0.000 0.000

## Properties
Its total energy is -25.54 eV/atom. Its crystal system is tetragonal. The calculation puts the formation energy at 0.109 eV/atom.

(17)
The following is a DFT calculation (SCAN) of ZrTiAu3 at its PBEsol-relaxed geometry.

abc: 4.767 4.767 4.767
angles: 90.00 90.00 90.00
Atoms (fractional coordinates):
1 Au 0.000 0.500 0.000
2 Au 0.000 0.000 0.500
3 Au 0.500 0.000 0.000
4 Zr 0.500 0.500 0.500
5 Ti 0.000 0.000 0.000

## Properties
Its total energy is -50.51 eV/atom. Its crystal system is cubic. The calculation puts the formation energy at 0.335 eV/atom.

(18)
The following is a DFT calculation (SCAN) of TlAu5 at its PBEsol-relaxed geometry.

abc: 5.471 5.471 5.471
angles: 60.00 60.00 60.00
Atoms (fractional coordinates):
1 Au 0.625 0.126 0.625
2 Au 0.126 0.625 0.625
3 Au 0.625 0.625 0.625
4 Au 0.250 0.250 0.250
5 Au 0.625 0.625 0.126
6 Tl 0.000 0.000 0.000

## Properties
Its total energy is -69.63 eV/atom. Its crystal system is cubic. The calculation puts the formation energy at 0.057 eV/atom.

(19)
The following is a DFT calculation (SCAN) of Tl5Au at its PBEsol-relaxed geometry.

abc: 4.861 6.139 6.139
angles: 120.00 90.00 90.00
Atoms (fractional coordinates):
1 Tl 0.500 0.333 0.667
2 Tl 0.000 0.695 0.000
3 Tl 0.500 0.667 0.333
4 Tl 0.000 0.305 0.305
5 Tl 0.000 0.000 0.695
6 Au 0.500 0.000 0.000

## Properties
Its total energy is -71.77 eV/atom. Its crystal system is hexagonal. The calculation puts the formation energy at 0.052 eV/atom.

(20)
The following is a DFT calculation (SCAN) of TlAu4 at its PBEsol-relaxed geometry.

abc: 3.549 5.468 5.468
angles: 83.95 71.06 71.06
Atoms (fractional coordinates):
1 Au 0.636 0.204 0.523
2 Au 0.160 0.477 0.204
3 Au 0.364 0.796 0.477
4 Au 0.840 0.523 0.796
5 Tl 0.000 0.000 0.000

## Properties
Its total energy is -69.76 eV/atom. Its crystal system is tetragonal. The calculation puts the formation energy at 0.039 eV/atom.

(21)
The following is a DFT calculation (SCAN) of Tl2Au at its PBEsol-relaxed geometry.

abc: 5.589 5.802 5.802
angles: 76.58 61.20 61.20
Atoms (fractional coordinates):
1 Au 0.250 0.000 0.000
2 Au 0.750 0.000 0.000
3 Tl 0.654 0.192 0.500
4 Tl 0.154 0.500 0.192
5 Tl 0.846 0.500 0.808
6 Tl 0.346 0.808 0.500

## Properties
Its total energy is -71.33 eV/atom. Its crystal system is tetragonal. The calculation puts the formation energy at -0.034 eV/atom.

(22)
The following is a DFT calculation (SCAN) of Tl2Au at its PBEsol-relaxed geometry.

abc: 5.239 5.239 6.067
angles: 90.00 90.00 120.00
Atoms (fractional coordinates):
1 Au 0.333 0.667 0.250
2 Au 0.667 0.333 0.750
3 Tl 0.667 0.333 0.250
4 Tl 0.333 0.667 0.750
5 Tl 0.000 0.000 0.500
6 Tl 0.000 0.000 0.000

## Properties
Its total energy is -71.26 eV/atom. Its crystal system is hexagonal. The calculation puts the formation energy at 0.035 eV/atom.

(23)
The following is a DFT calculation (SCAN) of Tl2Au at its PBEsol-relaxed geometry.

abc: 9.362 9.362 9.362
angles: 60.00 60.00 60.00
Atoms (fractional coordinates):
1 Tl 0.312 0.688 0.312
2 Tl 0.125 0.125 0.625
3 Tl 0.625 0.125 0.125
4 Tl 0.688 0.312 0.688
5 Tl 0.312 0.312 0.688
6 Tl 0.688 0.688 0.312
7 Tl 0.125 0.125 0.125
8 Tl 0.562 0.562 0.938
9 Tl 0.312 0.688 0.688
10 Tl 0.938 0.562 0.938
11 Tl 0.125 0.625 0.125
12 Tl 0.688 0.312 0.312
13 Tl 0.562 0.938 0.938
14 Tl 0.562 0.938 0.562
15 Tl 0.938 0.938 0.562
16 Tl 0.938 0.562 0.562
17 Au 0.337 0.337 0.337
18 Au 0.988 0.337 0.337
19 Au 0.337 0.337 0.988
20 Au 0.913 0.913 0.913
21 Au 0.262 0.913 0.913
22 Au 0.337 0.988 0.337
23 Au 0.913 0.262 0.913
24 Au 0.913 0.913 0.262

## Properties
Its total energy is -71.26 eV/atom. Its crystal system is cubic. The calculation puts the formation energy at 0.036 eV/atom.

(24)
The following is a DFT calculation (SCAN) of Tl6Au7 at its PBEsol-relaxed geometry.

abc: 5.562 5.562 10.966
angles: 75.31 75.31 60.00
Atoms (fractional coordinates):
1 Au 0.591 0.091 0.727
2 Au 0.409 0.409 0.273
3 Au 0.591 0.591 0.727
4 Au 0.091 0.591 0.727
5 Au 0.909 0.409 0.273
6 Au 0.409 0.909 0.273
7 Au 0.500 0.500 0.500
8 Tl 0.331 0.331 0.006
9 Tl 0.951 0.951 0.147
10 Tl 0.846 0.846 0.463
11 Tl 0.154 0.154 0.537
12 Tl 0.669 0.669 0.994
13 Tl 0.049 0.049 0.853

## Properties
Its total energy is -70.64 eV/atom. Its crystal system is trigonal. The calculation puts the formation energy at -0.001 eV/atom.

(25)
The following is a DFT calculation (SCAN) of Tl2Au at its PBEsol-relaxed geometry.

abc: 3.375 5.636 8.263
angles: 100.46 90.00 107.42
Atoms (fractional coordinates):
1 Tl 0.111 0.221 0.556
2 Tl 0.401 0.801 0.736
3 Tl 0.358 0.716 0.302
4 Tl 0.696 0.391 0.937
5 Au 0.628 0.255 0.266
6 Au 0.974 0.948 0.036

## Properties
Its total energy is -71.29 eV/atom. Its crystal system is monoclinic. The calculation puts the formation energy at 0.004 eV/atom.

(26)
The following is a DFT calculation (SCAN) of TlAu8 at its PBEsol-relaxed geometry.

abc: 4.182 6.504 6.504
angles: 84.07 71.25 71.25
Atoms (fractional coordinates):
1 Au 0.000 0.336 0.664
2 Au 0.000 0.664 0.336
3 Au 0.330 0.340 0.000
4 Au 0.336 0.664 0.664
5 Au 0.670 0.000 0.660
6 Au 0.670 0.660 0.000
7 Au 0.664 0.336 0.336
8 Au 0.330 0.000 0.340
9 Tl 0.000 0.000 0.000

## Properties
Its total energy is -69.45 eV/atom. Its crystal system is tetragonal. The calculation puts the formation energy at 0.060 eV/atom.